# BeNiAgSn, optimized geometry, DFT PBE
# * total energy: -3.862 eV/atom
# * total magnetic moment: 0.00 μB per formula unit
data_BeNiAgSn
_space_group_name_H-M_alt 'F -4 3 m'
_space_group_IT_number 216
_space_group_name_Hall 'F -4 2 3'
_cell_length_a 6.1816
_cell_length_b 6.1816
_cell_length_c 6.1816
_cell_angle_alpha 90.00
_cell_angle_beta 90.00
_cell_angle_gamma 90.00
loop_
_atom_site_label
_atom_site_fract_x
_atom_site_fract_y
_atom_site_fract_z
Be1 0.0000 0.0000 0.0000
Ni1 0.0000 0.0000 0.5000
Ag1 0.2500 0.2500 0.7500
Sn1 0.2500 0.2500 0.2500

# BaNi, optimized geometry, DFT PBE
# * total energy: -3.126 eV/atom
# * total magnetic moment: 0.00 μB per formula unit
data_BaNi
_space_group_name_H-M_alt 'F -4 3 m'
_space_group_IT_number 216
_space_group_name_Hall 'F -4 2 3'
_cell_length_a 6.7383
_cell_length_b 6.7383
_cell_length_c 6.7383
_cell_angle_alpha 90.00
_cell_angle_beta 90.00
_cell_angle_gamma 90.00
loop_
_atom_site_label
_atom_site_fract_x
_atom_site_fract_y
_atom_site_fract_z
Ba1 0.0000 0.0000 0.0000
Ni1 0.2500 0.2500 0.7500

# MgHgAsO, optimized geometry, DFT PBE
# * energy relative to the lowest polymorph listed for this composition: 153 meV per atom
# * total energy: -3.581 eV/atom
data_MgHgAsO
_space_group_name_H-M_alt 'P m c 21'
_space_group_IT_number 26
_space_group_name_Hall 'P 2c -2'
_cell_length_a 3.3624
_cell_length_b 7.1763
_cell_length_c 6.4397
_cell_angle_alpha 90.00
_cell_angle_beta 90.00
_cell_angle_gamma 90.00
loop_
_atom_site_label
_atom_site_fract_x
_atom_site_fract_y
_atom_site_fract_z
Mg1 0.0000 0.0910 0.0000
Hg1 0.5000 0.3234 0.3874
As1 0.5000 0.3287 0.8033
O1 0.0000 0.1024 0.2958

# HoGePt2, optimized geometry, DFT PBE
# * total energy: -6.162 eV/atom
# * total magnetic moment: 0.01 μB per formula unit
data_HoGePt2
_space_group_name_H-M_alt 'P 1 21/m 1'
_space_group_IT_number 11
_space_group_name_Hall '-P 2yb'
_cell_length_a 5.4863
_cell_length_b 4.0362
_cell_length_c 7.0001
_cell_angle_alpha 90.00
_cell_angle_beta 93.99
_cell_angle_gamma 90.00
loop_
_atom_site_label
_atom_site_fract_x
_atom_site_fract_y
_atom_site_fract_z
Ho1 0.1719 0.2500 0.2048
Ge1 0.3871 0.2500 0.6876
Pt1 0.1944 0.7500 0.5121
Pt2 0.3312 0.7500 0.9270

# Pr2CdPd2, optimized geometry, DFT PBE
# * total energy: -4.854 eV/atom
# * DFT formation energy: -0.69 eV/atom
# * total magnetic moment: 0.01 μB per formula unit
data_Pr2CdPd2
_space_group_name_H-M_alt 'C 1 2/c 1'
_space_group_IT_number 15
_space_group_name_Hall '-C 2yc'
_cell_length_a 8.7175
_cell_length_b 7.5984
_cell_length_c 15.6441
_cell_angle_alpha 90.00
_cell_angle_beta 106.15
_cell_angle_gamma 90.00
loop_
_atom_site_label
_atom_site_fract_x
_atom_site_fract_y
_atom_site_fract_z
Pr1 0.0513 0.2490 0.1361
Pr2 0.0840 0.2511 0.6317
Cd1 0.2500 0.0245 0.0001
Pd1 0.1544 0.0238 0.8088
Pd2 0.1546 0.4787 0.8085

# MgZn3Si2Ir2, optimized geometry, DFT PBE
# * total energy: -4.701 eV/atom
# * total magnetic moment: 0.00 μB per formula unit
data_MgZn3Si2Ir2
_space_group_name_H-M_alt 'P 3 m 1'
_space_group_IT_number 156
_space_group_name_Hall 'P 3 -2"'
_cell_length_a 4.1025
_cell_length_b 4.1025
_cell_length_c 8.4499
_cell_angle_alpha 90.00
_cell_angle_beta 90.00
_cell_angle_gamma 120.00
loop_
_atom_site_label
_atom_site_fract_x
_atom_site_fract_y
_atom_site_fract_z
Mg1 0.0000 0.0000 0.0000
Zn1 0.0000 0.0000 0.6450
Zn2 0.3333 0.6667 0.1554
Zn3 0.3333 0.6667 0.5023
Si1 0.6667 0.3333 0.3212
Si2 0.6667 0.3333 0.8172
Ir1 0.0000 0.0000 0.3277
Ir2 0.3333 0.6667 0.8222

# Nb3GaO, optimized geometry, DFT PBE
# * total energy: -5.992 eV/atom
# * total magnetic moment: 0.11 μB per formula unit
data_Nb3GaO
_space_group_name_H-M_alt 'P m -3 m'
_space_group_IT_number 221
_space_group_name_Hall '-P 4 2 3'
_cell_length_a 4.7349
_cell_length_b 4.7349
_cell_length_c 4.7349
_cell_angle_alpha 90.00
_cell_angle_beta 90.00
_cell_angle_gamma 90.00
loop_
_atom_site_label
_atom_site_fract_x
_atom_site_fract_y
_atom_site_fract_z
Nb1 0.0000 0.0000 0.5000
Ga1 0.0000 0.0000 0.0000
O1 0.5000 0.5000 0.5000

# GdIr2Pb2, optimized geometry, DFT PBE
# * total energy: -6.016 eV/atom
# * total magnetic moment: 0.00 μB per formula unit
data_GdIr2Pb2
_space_group_name_H-M_alt 'I 4/m m m'
_space_group_IT_number 139
_space_group_name_Hall '-I 4 2'
_cell_length_a 4.3361
_cell_length_b 4.3361
_cell_length_c 12.3667
_cell_angle_alpha 90.00
_cell_angle_beta 90.00
_cell_angle_gamma 90.00
loop_
_atom_site_label
_atom_site_fract_x
_atom_site_fract_y
_atom_site_fract_z
Gd1 0.0000 0.0000 0.0000
Ir1 0.0000 0.0000 0.4034
Pb1 0.0000 0.5000 0.2500